Entry 1:
The following is a GGA-PBEsol calculation of LaSc2Tl after structural relaxation, from Alexandria via LeMat-Bulk.

Output
Space group: No. 12
Uncorrected energy: -5.3453 eV per atom
ΔE_f: -0.049 eV per atom
Energy relative to the lowest polymorph listed for this composition: 133 meV/atom

Unit cell a=3.2818 b=5.9977 c=6.1743 alpha=117.35 beta=102.58 gamma=95.67
Fractional coordinates of all 4 atoms:
La1 0.0000 0.5000 0.0000
Sc1 0.0000 0.0000 0.5000
Sc2 0.5000 0.5000 0.5000
Tl1 0.5000 0.0000 0.0000

Entry 2:
The following is a GGA-PBEsol calculation of La2ScTl after structural relaxation, from Alexandria via LeMat-Bulk.

Output
Space group: No. 139
Uncorrected energy: -5.2001 eV per atom
ΔE_f: -0.218 eV per atom
Energy relative to the lowest polymorph listed for this composition: 0 meV/atom

Unit cell a=4.7045 b=4.7045 c=6.0245 alpha=112.98 beta=112.98 gamma=90.00
Fractional coordinates of all 4 atoms:
Sc1 0.5000 0.5000 0.0000
Tl1 0.0000 0.0000 0.0000
La1 0.7500 0.2500 0.5000
La2 0.2500 0.7500 0.5000

Entry 3:
The following is a GGA-PBEsol calculation of La2ScTl after structural relaxation, from Alexandria via LeMat-Bulk.

Output
Space group: No. 47
Uncorrected energy: -5.1651 eV per atom
ΔE_f: -0.183 eV per atom
Energy relative to the lowest polymorph listed for this composition: 35 meV/atom

Unit cell a=3.7439 b=4.5931 c=6.7578 alpha=90.00 beta=90.00 gamma=90.00
Fractional coordinates of all 4 atoms:
Sc1 0.5000 0.5000 0.0000
Tl1 0.5000 0.5000 0.5000
La1 0.0000 0.0000 0.7439
La2 0.0000 0.0000 0.2561

Look up the uncorrected energy of the second one.
-5.2001 eV per atom

What did the second record say?
The following is a GGA-PBEsol calculation of La2ScTl after structural relaxation, from Alexandria via LeMat-Bulk.

Output
Space group: No. 139
Uncorrected energy: -5.2001 eV per atom
ΔE_f: -0.218 eV per atom
Energy relative to the lowest polymorph listed for this composition: 0 meV/atom

Unit cell a=4.7045 b=4.7045 c=6.0245 alpha=112.98 beta=112.98 gamma=90.00
Fractional coordinates of all 4 atoms:
Sc1 0.5000 0.5000 0.0000
Tl1 0.0000 0.0000 0.0000
La1 0.7500 0.2500 0.5000
La2 0.2500 0.7500 0.5000

Among the records above, which one has the highest uncorrected energy?
number 3

Please write out number 2 again, unchanged.
The following is a GGA-PBEsol calculation of La2ScTl after structural relaxation, from Alexandria via LeMat-Bulk.

Output
Space group: No. 139
Uncorrected energy: -5.2001 eV per atom
ΔE_f: -0.218 eV per atom
Energy relative to the lowest polymorph listed for this composition: 0 meV/atom

Unit cell a=4.7045 b=4.7045 c=6.0245 alpha=112.98 beta=112.98 gamma=90.00
Fractional coordinates of all 4 atoms:
Sc1 0.5000 0.5000 0.0000
Tl1 0.0000 0.0000 0.0000
La1 0.7500 0.2500 0.5000
La2 0.2500 0.7500 0.5000